Below is CrPO3 after structural relaxation, with properties calculated at the PBE with a Hubbard U level.

The value obtained for the total moment is 4.54 μB/f.u. The calculation puts the total energy at -32.566 eV/cell.

Cell: 3.5509 3.5509 3.5509 Å, 90.00 90.00 90.00°
Each line ends with the local moment (μB).
Element x y z (fractional)
Cr1 0.5000 0.5000 0.5000  4.30
O1 0.0000 0.5000 0.0000  0.00
O2 0.0000 0.0000 0.5000  0.01
O3 0.5000 0.0000 0.0000  0.02
P1 0.0000 0.0000 0.0000  0.01